Entry 1:
{"formula": "LaCd2Tc", "functional": "PBE", "state": "optimized geometry", "lattice": [[0.000, 3.574, 3.574], [3.574, 0.000, 3.574], [3.574, 3.574, 0.000]], "species": ["La", "Cd", "Cd", "Tc"], "fractional_positions": [[0.000, 0.000, 0.000], [0.250, 0.250, 0.250], [0.750, 0.750, 0.750], [0.500, 0.500, 0.500]], "total_energy_ev_per_atom": -3.965, "e_form_ev_per_atom": 0.316, "dos_ef_per_ev_atom": 1.64, "crystal_system": "cubic"}

---

Entry 2:
{"formula": "LaCd4Tc", "functional": "PBE", "state": "optimized geometry", "lattice": [[0.000, 4.064, 4.064], [4.064, 0.000, 4.064], [4.064, 4.064, 0.000]], "species": ["La", "Cd", "Cd", "Cd", "Cd", "Tc"], "fractional_positions": [[0.000, 0.000, 0.000], [0.376, 0.376, 0.376], [0.376, 0.376, 0.872], [0.376, 0.872, 0.376], [0.872, 0.376, 0.376], [0.750, 0.750, 0.750]], "total_energy_ev_per_atom": -3.009, "e_form_ev_per_atom": 0.150, "dos_ef_per_ev_atom": 1.11, "crystal_system": "cubic"}

---

Entry 3:
{"formula": "LaCdTcW2", "functional": "PBE", "state": "optimized geometry", "lattice": [[4.789, 0.000, 0.000], [0.000, 4.789, 0.000], [0.000, 0.000, 5.374]], "species": ["La", "Cd", "Tc", "W", "W"], "fractional_positions": [[0.000, 0.000, 0.000], [0.000, 0.000, 0.500], [0.500, 0.500, 0.500], [0.000, 0.500, 0.000], [0.500, 0.000, 0.000]], "total_energy_ev_per_atom": -5.401, "e_form_ev_per_atom": 3.022, "dos_ef_per_ev_atom": 1.64, "crystal_system": "tetragonal"}

---

Entry 4:
{"formula": "La2YCdTc", "functional": "PBE", "state": "optimized geometry", "lattice": [[5.389, 0.000, 0.000], [0.000, 5.389, 0.000], [0.000, 0.000, 5.534]], "species": ["La", "La", "Y", "Cd", "Tc"], "fractional_positions": [[0.000, 0.500, 0.000], [0.500, 0.000, 0.000], [0.000, 0.000, 0.500], [0.500, 0.500, 0.500], [0.000, 0.000, 0.000]], "total_energy_ev_per_atom": -5.552, "e_form_ev_per_atom": -0.032, "dos_ef_per_ev_atom": 1.13, "crystal_system": "tetragonal"}

---

Entry 5:
{"formula": "La2CdTe", "functional": "PBE", "state": "optimized geometry", "lattice": [[2.156, 1.245, 8.581], [-2.156, 1.245, 8.581], [0.000, -2.490, 8.581]], "species": ["La", "La", "Cd", "Te"], "fractional_positions": [[0.000, 0.000, 0.000], [0.177, 0.177, 0.177], [0.422, 0.422, 0.422], [0.589, 0.589, 0.589]], "total_energy_ev_per_atom": -4.268, "dos_ef_per_ev_atom": 0.82, "crystal_system": "trigonal"}

---

Entry 6:
{"formula": "La4CdTe", "functional": "PBE", "state": "optimized geometry", "lattice": [[0.000, 4.593, 4.593], [4.593, 0.000, 4.593], [4.593, 4.593, 0.000]], "species": ["La", "La", "La", "La", "Cd", "Te"], "fractional_positions": [[0.125, 0.125, 0.125], [0.125, 0.125, 0.624], [0.125, 0.624, 0.125], [0.624, 0.125, 0.125], [0.500, 0.500, 0.500], [0.750, 0.750, 0.750]], "total_energy_ev_per_atom": -4.005, "dos_ef_per_ev_atom": 1.35, "crystal_system": "cubic"}